VASP calculation (PBE) on crystalline Nd2Th2Te5 at its relaxed geometry.

a b c (Å): 16.4680 5.4807 6.6094
angles (deg): 90.00 106.65 90.00
Closest atoms and distances in Å follow each position.
Space group C2/m (No. 12)
Unique sites:
Nd: 0.0916 0.0000 0.3768 (multiplicity 4)  8 Te 3.26-3.45
Th: 0.1974 0.5000 0.8045 (multiplicity 4)  8 Te 3.23-3.34
Te: 0.0000 0.5000 0.5000 (multiplicity 2)  2 Th 3.30, 4 Nd 3.34
Te: 0.1089 0.0000 0.8982 (multiplicity 4)  3 Th 3.23-3.25, 3 Nd 3.26-3.38
Te: 0.2094 0.5000 0.3129 (multiplicity 4)  4 Th 3.31-3.34, 3 Nd 3.33-3.45, 3 Te 3.65-3.68

- magnetization (μB per cell) = 0.00
- energy relative to the elements, uncorrected (eV per formula unit) = -11.15



VASP calculation (PBE) on crystalline PuSbS2 at its relaxed geometry.

a b c (Å): 3.8857 3.8857 25.9320
angles (deg): 90.00 90.00 120.00
Closest atoms and distances in Å follow each position.
Space group R-3m (No. 166, hexagonal axes)
Unique sites:
Pu: 0.0000 0.0000 0.0000 (multiplicity 3)  2 S 2.74
Sb: 0.0000 0.0000 0.5000 (multiplicity 3)  6 S 2.75
S: 0.0000 0.0000 0.1056 (multiplicity 6)  1 Pu 2.74, 3 Sb 2.75

- magnetization (μB per cell) = 19.53
- energy relative to the elements, uncorrected (eV per formula unit) = -0.90



VASP calculation (PBE) on crystalline Eu2DyHg at its relaxed geometry.

a b c (Å): 4.9639 4.9639 5.0175
angles (deg): 90.00 90.00 90.00
Closest atoms and distances in Å follow each position.
Space group P4/mmm (No. 123)
Unique sites:
Eu: 0.0000 0.5000 0.0000 (multiplicity 2)  4 Eu 3.51, 4 Hg 3.53, 4 Dy 3.53
Dy: 0.0000 0.0000 0.5000 (multiplicity 1)  4 Hg 3.51, 8 Eu 3.53
Hg: 0.5000 0.5000 0.5000 (multiplicity 1)  4 Dy 3.51, 8 Eu 3.53

- magnetization (μB per cell) = 15.07
- ΔH_f (0 K) (meV/atom) = -105



VASP calculation (PBE) on crystalline DyGa2Ir at its relaxed geometry.

a b c (Å): 4.2346 4.2346 14.7374
angles (deg): 90.00 90.00 120.00
Closest atoms and distances in Å follow each position.
Space group R-3m (No. 166, hexagonal axes)
Unique sites:
Dy: 0.0000 0.0000 0.0000 (multiplicity 3)  8 Ga 2.98-3.20
Ga: 0.0000 0.0000 0.2174 (multiplicity 6)  3 Ir 2.56
Ir: 0.0000 0.0000 0.5000 (multiplicity 3)  6 Ga 2.56

- magnetization (μB per cell) = 0.00
- ΔH_f (0 K) (meV/atom) = -654